[1]
Computed, not measured: a geometry-optimized CdCl2F8 structure at the PBE-GGA level of DFT.

Geometry as CIF:
```
data_CdCl2F8
_cell_length_a 4.861
_cell_length_b 6.414
_cell_length_c 6.414
_cell_angle_alpha 63.79
_cell_angle_beta 93.47
_cell_angle_gamma 93.47
_symmetry_space_group_name_H-M 'P 1'
_symmetry_Int_Tables_number 1
loop_
_symmetry_equiv_pos_as_xyz
'x,y,z'
loop_
_atom_site_label
_atom_site_fract_x
_atom_site_fract_y
_atom_site_fract_z
F1 0.358 0.904 0.379
F2 0.911 0.180 0.180
F3 0.642 0.096 0.621
F4 0.335 0.406 0.406
F5 0.089 0.820 0.820
F6 0.642 0.621 0.096
F7 0.358 0.379 0.904
F8 0.665 0.594 0.594
Cl1 0.633 0.339 0.339
Cl2 0.367 0.661 0.661
Cd1 0.000 0.000 0.000
```

Calculated values
VASP energy	-29.229	eV per cell
SG	C2/m, No. 12
magnetic moment	0.0	μB per cell

***

[2]
Computed, not measured: a geometry-optimized BeTePt structure at the PBE-GGA level of DFT.

Geometry as CIF:
```
data_BeTePt
_cell_length_a 4.740
_cell_length_b 4.740
_cell_length_c 5.541
_cell_angle_alpha 90.00
_cell_angle_beta 90.00
_cell_angle_gamma 120.00
_symmetry_space_group_name_H-M 'P 1'
_symmetry_Int_Tables_number 1
loop_
_symmetry_equiv_pos_as_xyz
'x,y,z'
loop_
_atom_site_label
_atom_site_fract_x
_atom_site_fract_y
_atom_site_fract_z
Te1 0.667 0.333 0.750
Te2 0.333 0.667 0.250
Be1 0.000 0.000 0.000
Be2 0.000 0.000 0.500
Pt1 0.333 0.667 0.750
Pt2 0.667 0.333 0.250
```

Calculated values
VASP energy	-23.576	eV per cell
SG	P6_3/mmc, No. 194
magnetic moment	0.0	μB per cell

***

[3]
Computed, not measured: a geometry-optimized BaBe2AsO8 structure at the PBE-GGA level of DFT.

Geometry as CIF:
```
data_BaBe2AsO8
_cell_length_a 4.898
_cell_length_b 4.898
_cell_length_c 7.356
_cell_angle_alpha 90.00
_cell_angle_beta 90.00
_cell_angle_gamma 120.00
_symmetry_space_group_name_H-M 'P 1'
_symmetry_Int_Tables_number 1
loop_
_symmetry_equiv_pos_as_xyz
'x,y,z'
loop_
_atom_site_label
_atom_site_fract_x
_atom_site_fract_y
_atom_site_fract_z
O1 0.726 0.048 0.352
O2 0.274 0.952 0.648
O3 0.048 0.322 0.648
O4 0.678 0.726 0.648
O5 0.333 0.667 0.920
O6 0.322 0.274 0.352
O7 0.667 0.333 0.080
O8 0.952 0.678 0.352
Be1 0.667 0.333 0.303
Be2 0.333 0.667 0.697
Ba1 0.000 0.000 0.000
As1 0.000 0.000 0.500
```

Calculated values
VASP energy	-69.135	eV per cell
SG	P-3, No. 147
magnetic moment	5.0	μB per cell

***

[4]
Computed, not measured: a geometry-optimized Nd2PuSe2N2 structure at the PBE-GGA level of DFT.

Geometry as CIF:
```
data_Nd2PuSe2N2
_cell_length_a 4.321
_cell_length_b 4.321
_cell_length_c 8.328
_cell_angle_alpha 105.04
_cell_angle_beta 105.04
_cell_angle_gamma 90.00
_symmetry_space_group_name_H-M 'P 1'
_symmetry_Int_Tables_number 1
loop_
_symmetry_equiv_pos_as_xyz
'x,y,z'
loop_
_atom_site_label
_atom_site_fract_x
_atom_site_fract_y
_atom_site_fract_z
Nd1 0.382 0.382 0.764
Nd2 0.618 0.618 0.236
Se1 0.817 0.817 0.634
Se2 0.183 0.183 0.366
Pu1 0.000 0.000 0.000
N1 0.500 0.000 0.000
N2 0.000 0.500 0.000
```

Calculated values
VASP energy	-57.974	eV per cell
SG	I4/mmm, No. 139
magnetic moment	4.0	μB per cell

***

[5]
Computed, not measured: a geometry-optimized NdSm2AgTe5 structure at the PBE-GGA level of DFT.

Geometry as CIF:
```
data_NdSm2AgTe5
_cell_length_a 4.395
_cell_length_b 9.741
_cell_length_c 13.378
_cell_angle_alpha 90.00
_cell_angle_beta 90.00
_cell_angle_gamma 103.04
_symmetry_space_group_name_H-M 'P 1'
_symmetry_Int_Tables_number 1
loop_
_symmetry_equiv_pos_as_xyz
'x,y,z'
loop_
_atom_site_label
_atom_site_fract_x
_atom_site_fract_y
_atom_site_fract_z
Ag1 0.566 0.132 0.961
Ag2 0.434 0.868 0.461
Te1 0.310 0.620 0.335
Te2 0.287 0.575 0.674
Te3 0.713 0.425 0.174
Te4 0.502 0.003 0.279
Te5 0.361 0.722 0.999
Te6 0.498 0.997 0.779
Te7 0.639 0.278 0.499
Te8 0.690 0.380 0.835
Te9 0.040 0.081 0.079
Te10 0.960 0.919 0.579
Nd1 0.807 0.614 0.508
Nd2 0.193 0.386 0.008
Sm1 0.875 0.751 0.804
Sm2 0.111 0.222 0.685
Sm3 0.889 0.778 0.185
Sm4 0.125 0.249 0.304
```

Calculated values
VASP energy	-86.283	eV per cell
SG	Cmc2_1, No. 36
magnetic moment	0.0	μB per cell

***

[6]
Computed, not measured: a geometry-optimized AsSF structure at the PBE-GGA level of DFT.

Geometry as CIF:
```
data_AsSF
_cell_length_a 3.291
_cell_length_b 4.795
_cell_length_c 9.891
_cell_angle_alpha 93.33
_cell_angle_beta 82.57
_cell_angle_gamma 86.87
_symmetry_space_group_name_H-M 'P 1'
_symmetry_Int_Tables_number 1
loop_
_symmetry_equiv_pos_as_xyz
'x,y,z'
loop_
_atom_site_label
_atom_site_fract_x
_atom_site_fract_y
_atom_site_fract_z
F1 0.212 0.374 0.619
F2 0.788 0.626 0.381
S1 0.398 0.256 0.170
S2 0.602 0.744 0.830
As1 0.836 0.251 0.330
As2 0.164 0.749 0.670
```

Calculated values
VASP energy	-27.280	eV per cell
energy above the lowest structure with this stoichiometry	0	meV per atom
SG	P-1, No. 2
magnetic moment	0.0	μB per cell